Crystalline HgIrCl at its relaxed geometry. Source: Alexandria via LeMat-Bulk, functional PBEsol.

```
data_HgIrCl
_cell_length_a 6.3943
_cell_length_b 6.3943
_cell_length_c 6.3943
_cell_angle_alpha 90.00
_cell_angle_beta 90.00
_cell_angle_gamma 90.00
_space_group_name_H-M_alt 'P 1'
_space_group_IT_number 1
_space_group_name_Hall 'P 1'
loop_
_atom_site_label
_atom_site_type_symbol
_atom_site_fract_x
_atom_site_fract_y
_atom_site_fract_z
_atom_site_occupancy
Hg1 Hg 0.0000 0.0000 0.0000 1
Hg2 Hg 0.0000 0.5000 0.5000 1
Hg3 Hg 0.5000 0.0000 0.5000 1
Hg4 Hg 0.5000 0.5000 0.0000 1
Ir1 Ir 0.2500 0.2500 0.7500 1
Ir2 Ir 0.2500 0.7500 0.2500 1
Ir3 Ir 0.7500 0.2500 0.2500 1
Ir4 Ir 0.7500 0.7500 0.7500 1
Cl1 Cl 0.2500 0.2500 0.2500 1
Cl2 Cl 0.2500 0.7500 0.7500 1
Cl3 Cl 0.7500 0.2500 0.7500 1
Cl4 Cl 0.7500 0.7500 0.2500 1
```

Values from the calculation:
VASP energy	-33.29	eV per cell
volume	21.8	Å³ per atom
crystal system	cubic
ΔE_f (raw)	1.359	eV per atom
energy above the lowest structure with this stoichiometry	794	meV per atom